# 1
Here is a geometry-optimized BSe3F structure from the Alexandria database. Energies are from GGA-PBEsol.

Output
- formation energy from raw total energies (meV/atom) = 467.7
- volume (Å³/cell) = 83
- D(E_F) (states/eV/atom) = 0.89

```
BSe3F
1.0
4.3537 0.0000 0.0000
0.0000 4.3537 0.0000
0.0000 0.0000 4.3537
B Se F
1 3 1
Cartesian
0.0000 0.0000 0.0000 B
0.0000 0.0000 2.1769 Se
0.0000 2.1769 0.0000 Se
2.1769 0.0000 0.0000 Se
2.1769 2.1769 2.1769 F
```


# 2
Here is a geometry-optimized TaSBr2 structure from the Alexandria database. Energies are from GGA-PBEsol.

Output
- formation energy from raw total energies (meV/atom) = -467.5
- volume (Å³/cell) = 207
- D(E_F) (states/eV/atom) = 0.59

```
TaSBr2
1.0
-4.7053 4.7053 2.3336
4.7053 -4.7053 2.3336
4.7053 4.7053 -2.3336
Ta S Br
2 2 4
Cartesian
0.0000 0.0000 0.0000 Ta
0.0000 4.7053 1.1668 Ta
4.7053 0.0000 1.1668 S
0.0000 0.0000 2.3336 S
-1.0386 2.3526 0.5834 Br
2.3526 3.6667 1.7502 Br
1.0386 7.0579 0.5834 Br
-2.3526 5.7439 1.7502 Br
```


# 3
Here is a geometry-optimized Ca5Sn3 structure from the Alexandria database. Energies are from GGA-PBEsol.

Output
- volume (Å³/cell) = 491
- D(E_F) (states/eV/atom) = 0.73
- formation energy from the elements (eV per atom) = -0.69

```
Ca5Sn3
1.0
-4.0230 4.0230 7.5803
4.0230 -4.0230 7.5803
4.0230 4.0230 -7.5803
Ca Sn
10 6
Cartesian
0.0000 0.0000 0.0000 Ca
5.4304 1.4073 -2.1709 Ca
1.4073 2.6157 -2.1709 Ca
5.4304 1.4073 2.1709 Ca
1.4073 2.6157 2.1709 Ca
0.0000 0.0000 7.5803 Ca
2.6157 1.4073 5.4094 Ca
-1.4073 2.6157 5.4094 Ca
2.6157 1.4073 9.7512 Ca
-1.4073 2.6157 9.7512 Ca
3.0145 1.0085 0.0000 Sn
0.0000 0.0000 3.7901 Sn
3.0145 -1.0085 7.5803 Sn
1.0085 5.0315 0.0000 Sn
0.0000 0.0000 11.3704 Sn
1.0085 3.0145 7.5803 Sn
```


# 4
Here is a geometry-optimized K2ReP structure from the Alexandria database. Energies are from GGA-PBEsol.

Output
- volume (Å³/cell) = 335
- D(E_F) (states/eV/atom) = 0.70
- excess energy over the best structure of this formula in the dataset (meV/atom) = 370
- formation energy from the elements (eV per atom) = 0.66

```
K2ReP
1.0
-6.1080 6.1080 2.2420
6.1080 -6.1080 2.2420
6.1080 6.1080 -2.2420
K Re P
4 2 2
Cartesian
0.6363 3.0540 0.5605 K
-3.0540 5.4716 1.6815 K
-0.6363 9.1620 0.5605 K
3.0540 6.7443 1.6815 K
6.1080 0.0000 1.1210 Re
0.0000 0.0000 2.2420 Re
0.0000 0.0000 0.0000 P
0.0000 6.1080 1.1210 P
```


# 5
Here is a geometry-optimized BeAs2W structure from the Alexandria database. Energies are from GGA-PBEsol.

Output
- volume (Å³/cell) = 59
- D(E_F) (states/eV/atom) = 0.47
- formation energy from the elements (eV per atom) = 0.33

```
BeAs2W
1.0
4.2488 -1.5078 0.0000
4.2488 1.5078 0.0000
-0.2688 0.0000 4.5786
Be As W
1 2 1
Cartesian
0.0000 0.0000 0.0000 Be
1.6996 0.0000 3.3967 As
6.5292 0.0000 1.1819 As
4.1144 0.0000 2.2893 W
```


# 6
Here is a geometry-optimized BeCo2Tc structure from the Alexandria database. Energies are from GGA-PBEsol.

Output
- volume (Å³/cell) = 41
- D(E_F) (states/eV/atom) = 0.57
- excess energy over the best structure of this formula in the dataset (meV/atom) = 0
- formation energy from the elements (eV per atom) = -0.21

```
BeCo2Tc
1.0
2.5798 0.0000 0.0000
0.0000 2.5798 0.0000
0.0000 0.0000 6.0966
Be Co Tc
1 2 1
Cartesian
0.0000 0.0000 0.0000 Be
1.2899 1.2899 1.3095 Co
1.2899 1.2899 4.7872 Co
0.0000 0.0000 3.0483 Tc
```


# 7
Here is a geometry-optimized NbSb2TeBr structure from the Alexandria database. Energies are from GGA-PBEsol.

Output
- formation energy from raw total energies (meV/atom) = 120.3
- volume (Å³/cell) = 148
- D(E_F) (states/eV/atom) = 0.54

```
NbSb2TeBr
1.0
5.3337 0.0000 0.0000
0.0000 5.3337 0.0000
0.0000 0.0000 5.2075
Nb Sb Te Br
1 2 1 1
Cartesian
0.0000 0.0000 0.0000 Nb
0.0000 2.6668 0.0000 Sb
2.6668 0.0000 0.0000 Sb
0.0000 0.0000 2.6037 Te
2.6668 2.6668 2.6037 Br
```


# 8
Here is a geometry-optimized FeTe2Os structure from the Alexandria database. Energies are from GGA-PBEsol.

Output
- formation energy from raw total energies (meV/atom) = 625.2
- volume (Å³/cell) = 69
- D(E_F) (states/eV/atom) = 0.72
- excess energy over the best structure of this formula in the dataset (meV/atom) = 136

```
FeTe2Os
1.0
4.6349 0.0000 0.0000
0.0000 4.6349 0.0000
0.0000 0.0000 3.2280
Fe Te Os
1 2 1
Cartesian
0.0000 0.0000 0.0000 Fe
0.0000 2.3175 1.6140 Te
2.3175 0.0000 1.6140 Te
2.3175 2.3175 0.0000 Os
```


# 9
Here is a geometry-optimized Li2TaTc structure from the Alexandria database. Energies are from GGA-PBEsol.

Output
- volume (Å³/cell) = 52
- D(E_F) (states/eV/atom) = 0.56
- excess energy over the best structure of this formula in the dataset (meV/atom) = 456
- formation energy from the elements (eV per atom) = 0.70

```
Li2TaTc
1.0
0.0000 2.9636 2.9636
2.9636 0.0000 2.9636
2.9636 2.9636 0.0000
Li Ta Tc
2 1 1
Cartesian
1.4818 1.4818 1.4818 Li
4.4454 4.4454 4.4454 Li
0.0000 0.0000 0.0000 Ta
2.9636 2.9636 2.9636 Tc
```


# 10
Here is a geometry-optimized MgMn2Si structure from the Alexandria database. Energies are from GGA-PBEsol.

Output
- formation energy from raw total energies (meV/atom) = 32.7
- volume (Å³/cell) = 51
- D(E_F) (states/eV/atom) = 0.76

```
MgMn2Si
1.0
2.8474 0.0000 0.0000
0.0000 2.8474 0.0000
0.0000 0.0000 6.2814
Mg Mn Si
1 2 1
Cartesian
0.0000 0.0000 0.0000 Mg
0.0000 0.0000 3.0707 Mn
1.4237 1.4237 1.7554 Mn
1.4237 1.4237 4.3198 Si
```


# 11
Here is a geometry-optimized CaPbW2 structure from the Alexandria database. Energies are from GGA-PBEsol.

Output
- volume (Å³/cell) = 81
- D(E_F) (states/eV/atom) = 0.73
- formation energy from the elements (eV per atom) = 1.18

```
CaPbW2
1.0
2.8648 0.0000 0.0000
0.0000 2.8648 0.0000
0.0000 0.0000 9.8710
Ca Pb W
1 1 2
Cartesian
0.0000 0.0000 0.0000 Ca
0.0000 0.0000 4.9355 Pb
1.4324 1.4324 2.5561 W
1.4324 1.4324 7.3149 W
```


# 12
Here is a geometry-optimized Ca3Al7Ag2 structure from the Alexandria database. Energies are from GGA-PBEsol.

Output
- volume (Å³/cell) = 238
- D(E_F) (states/eV/atom) = 0.40
- formation energy from the elements (eV per atom) = -0.33

```
Ca3Al7Ag2
1.0
2.7896 1.6106 8.8270
-2.7896 1.6106 8.8270
0.0000 -3.2211 8.8270
Ca Al Ag
3 7 2
Cartesian
0.0000 0.0000 0.0000 Ca
0.0000 0.0000 3.7972 Ca
0.0000 0.0000 22.6839 Ca
-1.4183 -0.8188 10.9901 Al
0.0000 -1.6377 15.4910 Al
-1.4183 0.8188 15.4910 Al
0.0000 0.0000 13.2406 Al
1.4183 -0.8188 10.9901 Al
0.0000 1.6377 10.9901 Al
1.4183 0.8188 15.4910 Al
0.0000 0.0000 8.8830 Ag
0.0000 0.0000 17.5981 Ag
```


Q: Which of these has the highest D(E_F)?
A: BSe3F